# Sr2NiBr6

Crystalline Sr2NiBr6 at its relaxed geometry (PBE-GGA, Alexandria via LeMat-Bulk).

Calculated values
Its crystal system is tetragonal. Its formation energy without anion corrections is -138.1 kJ per mole of atoms. For the energy, the calculation gives -32.066 eV per formula unit. The excess energy over the best structure of this formula in the dataset comes out at 70 meV per atom.

The structure in CIF format:
```
data_Sr2NiBr6
_space_group_name_H-M_alt 'P 42/m n m'
_space_group_IT_number 136
_space_group_name_Hall '-P 4n 2n'
_cell_length_a 6.811
_cell_length_b 6.811
_cell_length_c 13.111
_cell_angle_alpha 90.00
_cell_angle_beta 90.00
_cell_angle_gamma 90.00
loop_
_atom_site_label
_atom_site_fract_x
_atom_site_fract_y
_atom_site_fract_z
Sr1 0.000 0.000 0.166
Ni1 0.000 0.000 0.500
Br1 0.183 0.183 0.357
Br2 0.226 0.226 0.000
```


# SrNi2Br

Crystalline SrNi2Br at its relaxed geometry (PBE-GGA, Alexandria via LeMat-Bulk).

Calculated values
Its crystal system is monoclinic. Its formation energy without anion corrections is -13.8 kJ per mole of atoms. For the energy, the calculation gives -15.489 eV per formula unit. The excess energy over the best structure of this formula in the dataset comes out at 97 meV per atom.

The structure in CIF format:
```
data_SrNi2Br
_space_group_name_H-M_alt 'P 1 m 1'
_space_group_IT_number 6
_space_group_name_Hall 'P -2y'
_cell_length_a 3.459
_cell_length_b 3.456
_cell_length_c 7.593
_cell_angle_alpha 90.00
_cell_angle_beta 97.53
_cell_angle_gamma 90.00
loop_
_atom_site_label
_atom_site_fract_x
_atom_site_fract_y
_atom_site_fract_z
Sr1 0.000 0.000 0.000
Ni1 0.098 0.000 0.367
Ni2 0.580 0.500 0.300
Br1 0.430 0.500 0.757
```


# SrNi2Br

Crystalline SrNi2Br at its relaxed geometry (PBE-GGA, Alexandria via LeMat-Bulk).

Calculated values
Its crystal system is orthorhombic. Its formation energy without anion corrections is -2.3 kJ per mole of atoms. For the energy, the calculation gives -15.014 eV per formula unit. The excess energy over the best structure of this formula in the dataset comes out at 216 meV per atom.

The structure in CIF format:
```
data_SrNi2Br
_space_group_name_H-M_alt 'I m m 2'
_space_group_IT_number 44
_space_group_name_Hall 'I 2 -2'
_cell_length_a 3.971
_cell_length_b 5.856
_cell_length_c 7.853
_cell_angle_alpha 90.00
_cell_angle_beta 90.00
_cell_angle_gamma 90.00
loop_
_atom_site_label
_atom_site_fract_x
_atom_site_fract_y
_atom_site_fract_z
Sr1 0.000 0.000 0.000
Ni1 0.000 0.000 0.555
Ni2 0.000 0.500 0.188
Br1 0.000 0.500 0.822
```